Tb3Pr5Er: relaxed, GGA-PBE.

```
18
Lattice="7.683 -5.873 0.000 7.683 5.873 0.000 -6.388 0.000 7.680" Properties=species:S:1:pos:R:3 pbc="T T T"
Tb 0.000 0.000 0.000
Tb -1.963 0.000 2.470
Tb 6.526 0.000 1.163
Tb 4.489 0.000 3.840
Tb 2.451 0.000 6.517
Tb 10.940 0.000 5.209
Pr 0.616 2.946 5.811
Pr -1.171 0.000 5.648
Pr 4.489 2.979 3.840
Pr 3.291 0.000 0.679
Pr 8.361 2.946 1.869
Pr 0.616 -2.946 5.811
Pr 5.686 0.000 7.000
Pr 4.489 -2.979 3.840
Pr 10.148 0.000 2.031
Pr 8.361 -2.946 1.869
Er 1.300 0.000 3.441
Er 7.678 0.000 4.239
```

**Formation enthalpy at 0 K**: 445 meV/atom
**Symmetry**: C2/m
**Relative energy among the computed polymorphs**: 183 meV/atom